VASP calculation (PBE with a Hubbard U) on K3WC4N4OF after structural relaxation.

Cell lengths 8.065, 8.264, 8.814 Å; angles 93.62, 100.15, 92.44 degrees
Atoms (fractional coordinates):
K1 0.204 0.334 0.009
K2 0.239 0.735 0.733
K3 0.296 0.159 0.499
K4 0.704 0.841 0.501
K5 0.761 0.265 0.267
K6 0.796 0.666 0.991
W1 0.245 0.751 0.225
W2 0.755 0.249 0.775
C1 0.026 0.882 0.272
C2 0.154 0.529 0.316
C3 0.360 0.986 0.185
C4 0.483 0.635 0.222
C5 0.517 0.365 0.778
C6 0.640 0.014 0.815
C7 0.846 0.471 0.684
C8 0.974 0.118 0.728
N1 0.092 0.046 0.708
N2 0.108 0.402 0.351
N3 0.389 0.429 0.779
N4 0.419 0.117 0.175
N5 0.581 0.883 0.825
N6 0.611 0.571 0.221
N7 0.892 0.598 0.649
N8 0.908 0.954 0.292
O1 0.155 0.686 0.029
O2 0.845 0.314 0.971
F1 0.348 0.823 0.453
F2 0.652 0.177 0.547

## Properties
Crystal system: triclinic
DFT total energy in hartree per atom: -0.25482